1.
This record from Alexandria describes a geometry-optimized CsBiSb2Au4 structure. The functional is PBE-GGA.

Summary:
E = -3.394 eV/atom
formation energy from raw total energies = -133.1 meV per atom

Cell: 4.863 4.863 10.238 Å, 90.00 90.00 90.00°
Space group P4/mmm (No. 123)
Inequivalent atoms, fractional coordinates:
Cs1 0.000 0.000 0.000 x1
Bi1 0.000 0.000 0.500 x1
Sb1 0.500 0.500 0.211 x2
Au1 0.000 0.500 0.331 x4



2.
This record from Alexandria describes a geometry-optimized CsSiBiAu2 structure. The functional is PBE-GGA.

Summary:
E = -1.783 eV/atom
formation energy from raw total energies = 1559.9 meV per atom

Cell: 5.703 5.703 5.698 Å, 90.00 90.00 90.00°
Space group P4/mmm (No. 123)
Inequivalent atoms, fractional coordinates:
Cs1 0.000 0.000 0.000 x1
Si1 0.000 0.000 0.500 x1
Bi1 0.500 0.500 0.500 x1
Au1 0.000 0.500 0.000 x2